Entry 1:
The following is a PBE calculation of Sr2YAs after structural relaxation, from the Alexandria database.

a b c (Å): 6.641 6.641 6.641
angles (deg): 137.63 137.63 61.47
Atoms (fractional coordinates):
Sr: 0.000 0.000 0.000
Sr: 0.750 0.250 0.500
Y: 0.250 0.750 0.500
As: 0.500 0.500 0.000

Output
* energy relative to the elements: -0.203 eV per atom
* symmetry: I-4m2, No. 119

=====

Entry 2:
The following is a PBE calculation of SrTmMgAl after structural relaxation, from the Alexandria database.

a b c (Å): 5.410 5.410 5.410
angles (deg): 60.00 60.00 60.00
Atoms (fractional coordinates):
Sr: 0.000 0.000 0.000
Tm: 0.500 0.500 0.500
Mg: 0.250 0.250 0.250
Al: 0.750 0.750 0.750

Output
* energy relative to the elements: -0.089 eV per atom
* symmetry: F-43m, No. 216

=====

Entry 3:
The following is a PBE calculation of LiPdPt after structural relaxation, from the Alexandria database.

a b c (Å): 4.321 4.321 2.690
angles (deg): 90.00 90.00 120.00
Atoms (fractional coordinates):
Li: 0.000 0.000 0.000
Pd: 0.333 0.667 0.198
Pt: 0.667 0.333 0.665

Output
* energy relative to the elements: -0.303 eV per atom
* symmetry: P3m1, No. 156
* polymorph energy (0 for the lowest one): 123 meV per atom

=====

Entry 4:
The following is a PBE calculation of BeZnTe2 after structural relaxation, from the Alexandria database.

a b c (Å): 3.787 3.787 6.774
angles (deg): 90.00 90.00 90.00
Atoms (fractional coordinates):
Be: 0.000 0.000 0.000
Zn: 0.500 0.500 0.721
Te: 0.000 0.000 0.627
Te: 0.500 0.500 0.117

Output
* symmetry: P4mm, No. 99
* raw formation energy: 7 meV/atom
* polymorph energy (0 for the lowest one): 414 meV per atom